CrSnO2: optimized geometry, GGA+U.

## Properties
E above lowest polymorph in meV/atom: 423
Magnetization in μB/atom: 0.85

Cell: 3.3070 3.3070 7.1290 Å, 90.00 90.00 120.00°
Space group P3m1 (No. 156)
Inequivalent atoms, fractional coordinates:
Cr: 0.0000 0.0000 0.0000 [1 per cell]
Sn: 0.6667 0.3333 0.4669 [1 per cell]
O: 0.0000 0.0000 0.2760 [1 per cell]
O: 0.3333 0.6667 0.9394 [1 per cell]